Record 1
First-principles (PBE-GGA) data for crystalline Mo2Ru3Rh at its relaxed geometry, as listed in Alexandria.

Lattice parameters (Å, degrees): 3.8487 3.8487 12.1203 80.91 80.91 90.00
Last column: nearest neighbours and their distance in Å.
Fractional coordinates of all 12 atoms:
1 Mo 0.2066 0.4563 0.5873  2 Rh 2.72, 8 Ru 2.72-2.80, 2 Mo 2.82
2 Mo 0.4563 0.2066 0.0873  2 Rh 2.72, 8 Ru 2.72-2.80, 2 Mo 2.82
3 Mo 0.5437 0.7934 0.9127  2 Rh 2.72, 8 Ru 2.72-2.80, 2 Mo 2.82
4 Mo 0.7934 0.5437 0.4127  2 Rh 2.72, 8 Ru 2.72-2.80, 2 Mo 2.82
5 Ru 0.3749 0.6251 0.2500  4 Mo 2.72, 4 Rh 2.72, 4 Ru 2.73-2.74
6 Ru 0.6251 0.3749 0.7500  4 Mo 2.72, 4 Rh 2.72, 4 Ru 2.73-2.74
7 Ru 0.9581 0.7074 0.0851  6 Mo 2.72-2.80, 4 Ru 2.73-2.79, 2 Rh 2.74
8 Ru 0.2926 0.0419 0.4149  6 Mo 2.72-2.80, 4 Ru 2.73-2.79, 2 Rh 2.74
9 Ru 0.7074 0.9581 0.5851  6 Mo 2.72-2.80, 4 Ru 2.73-2.79, 2 Rh 2.74
10 Ru 0.0419 0.2926 0.9149  6 Mo 2.72-2.80, 4 Ru 2.73-2.79, 2 Rh 2.74
11 Rh 0.1253 0.8747 0.7500  4 Mo 2.72, 8 Ru 2.72-2.74
12 Rh 0.8747 0.1253 0.2500  4 Mo 2.72, 8 Ru 2.72-2.74

Output
**Space-group type**: C2/c, No. 15
**VASP energy**: -56.91 eV/f.u.
**Formation enthalpy at 0 K**: -12.0 meV per atom

Record 2
First-principles (PBE-GGA) data for crystalline Ac2AlZn3Cd4 at its relaxed geometry, as listed in Alexandria.

Lattice parameters (Å, degrees): 4.5825 4.5825 11.5429 90.00 90.00 90.00
Last column: nearest neighbours and their distance in Å.
Fractional coordinates of all 10 atoms:
1 Ac 0.5000 0.0000 0.2523  6 Zn 3.50-3.66, 8 Cd 3.51-3.71, 2 Al 3.66
2 Ac 0.0000 0.5000 0.7477  6 Zn 3.50-3.66, 8 Cd 3.51-3.71, 2 Al 3.66
3 Al 0.5000 0.5000 0.5000  4 Cd 2.74
4 Zn 0.0000 0.0000 0.5000  4 Cd 2.74
5 Zn 0.5000 0.0000 0.8626  5 Cd 2.67-2.79
6 Zn 0.0000 0.5000 0.1374  5 Cd 2.67-2.79
7 Cd 0.5000 0.5000 0.0000  4 Zn 2.79
8 Cd 0.0000 0.0000 0.0000  4 Zn 2.79
9 Cd 0.5000 0.0000 0.6309  3 Zn 2.67-2.74, 2 Al 2.74
10 Cd 0.0000 0.5000 0.3691  3 Zn 2.67-2.74, 2 Al 2.74

Output
**Space-group type**: P-4m2, No. 115
**VASP energy**: -22.02 eV/f.u.
**Formation enthalpy at 0 K**: -257.8 meV per atom

Record 3
First-principles (PBE-GGA) data for crystalline Ba6NaHgPt at its relaxed geometry, as listed in Alexandria.

Lattice parameters (Å, degrees): 8.5434 8.5435 7.9489 90.00 90.00 59.99
Last column: nearest neighbours and their distance in Å.
Fractional coordinates of all 9 atoms:
1 Ba 0.0220 0.3537 0.2697  1 Pt 3.16, 1 Hg 3.41
2 Ba 0.3536 0.0221 0.7303  1 Pt 3.16, 1 Hg 3.41
3 Ba 0.6242 0.3537 0.7303  1 Pt 3.16, 1 Hg 3.41
4 Ba 0.0221 0.6243 0.7302  1 Pt 3.16, 1 Hg 3.41
5 Ba 0.3536 0.6242 0.2697  1 Pt 3.16, 1 Hg 3.41
6 Ba 0.6243 0.0221 0.2698  1 Pt 3.16, 1 Hg 3.41
7 Na 0.0000 0.0000 0.0000  6 Ba 3.79
8 Hg 0.6666 0.6666 0.5000  6 Ba 3.41
9 Pt 0.3333 0.3333 0.5000  6 Ba 3.16

Output
**Space-group type**: P312, No. 149
**VASP energy**: -21.64 eV/f.u.
**Formation enthalpy at 0 K**: -271.2 meV per atom

Record 4
First-principles (PBE-GGA) data for crystalline InCo2Cu at its relaxed geometry, as listed in Alexandria.

Lattice parameters (Å, degrees): 4.5573 4.5573 4.5573 131.59 128.08 73.70
Last column: nearest neighbours and their distance in Å.
Fractional coordinates of all 4 atoms:
1 Co 0.9881 0.9881 0.0000  2 Co 2.50, 4 In 2.65-2.66, 4 Cu 2.74
2 Co 0.7598 0.2598 0.5000  2 Co 2.50, 4 Cu 2.63-2.68, 4 In 2.73
3 Cu 0.5053 0.5053 0.0000  8 Co 2.63-2.74, 4 In 2.65-2.66
4 In 0.2468 0.7468 0.5000  4 Cu 2.65-2.66, 8 Co 2.65-2.73

Output
**Space-group type**: Imm2, No. 44
**VASP energy**: -20.25 eV/f.u.
**Formation enthalpy at 0 K**: 199.9 meV per atom

Record 5
First-principles (PBE-GGA) data for crystalline CeAl20Cr2 at its relaxed geometry, as listed in Alexandria.

Lattice parameters (Å, degrees): 10.2087 10.2087 10.2087 60.00 60.00 60.00
Last column: nearest neighbours and their distance in Å.
Fractional coordinates of all 46 atoms:
1 Ce 0.5000 0.5000 0.5000  16 Al 3.13-3.21
2 Ce 0.7500 0.7500 0.7500  16 Al 3.13-3.21
3 Al 0.5680 0.2989 0.2989  8 Al 2.72-2.90, 1 Cr 2.78
4 Al 0.2989 0.5680 0.8342  8 Al 2.72-2.90, 1 Cr 2.78
5 Al 0.2989 0.8342 0.5680  8 Al 2.72-2.90, 1 Cr 2.78
6 Al 0.8342 0.2989 0.2989  8 Al 2.72-2.90, 1 Cr 2.78
7 Al 0.2989 0.2989 0.5680  8 Al 2.72-2.90, 1 Cr 2.78
8 Al 0.5680 0.8342 0.2989  8 Al 2.72-2.90, 1 Cr 2.78
9 Al 0.8342 0.5680 0.2989  8 Al 2.72-2.90, 1 Cr 2.78
10 Al 0.2989 0.2989 0.8342  8 Al 2.72-2.90, 1 Cr 2.78
11 Al 0.2989 0.5680 0.2989  8 Al 2.72-2.90, 1 Cr 2.78
12 Al 0.8342 0.2989 0.5680  8 Al 2.72-2.90, 1 Cr 2.78
13 Al 0.5680 0.2989 0.8342  8 Al 2.72-2.90, 1 Cr 2.78
14 Al 0.2989 0.8342 0.2989  8 Al 2.72-2.90, 1 Cr 2.78
15 Al 0.6820 0.9511 0.9511  8 Al 2.72-2.90, 1 Cr 2.78
16 Al 0.9511 0.6820 0.4158  8 Al 2.72-2.90, 1 Cr 2.78
17 Al 0.9511 0.4158 0.6820  8 Al 2.72-2.90, 1 Cr 2.78
18 Al 0.4158 0.9511 0.9511  8 Al 2.72-2.90, 1 Cr 2.78
19 Al 0.9511 0.9511 0.6820  8 Al 2.72-2.90, 1 Cr 2.78
20 Al 0.6820 0.4158 0.9511  8 Al 2.72-2.90, 1 Cr 2.78
21 Al 0.4158 0.6820 0.9511  8 Al 2.72-2.90, 1 Cr 2.78
22 Al 0.9511 0.9511 0.4158  8 Al 2.72-2.90, 1 Cr 2.78
23 Al 0.9511 0.6820 0.9511  8 Al 2.72-2.90, 1 Cr 2.78
24 Al 0.4158 0.9511 0.6820  8 Al 2.72-2.90, 1 Cr 2.78
25 Al 0.6820 0.9511 0.4158  8 Al 2.72-2.90, 1 Cr 2.78
26 Al 0.9511 0.4158 0.9511  8 Al 2.72-2.90, 1 Cr 2.78
27 Al 0.8641 0.8641 0.1359  2 Cr 2.56, 10 Al 2.72-2.83
28 Al 0.1359 0.1359 0.8641  2 Cr 2.56, 10 Al 2.72-2.83
29 Al 0.8641 0.1359 0.8641  2 Cr 2.56, 10 Al 2.72-2.83
30 Al 0.1359 0.8641 0.1359  2 Cr 2.56, 10 Al 2.72-2.83
31 Al 0.1359 0.8641 0.8641  2 Cr 2.56, 10 Al 2.72-2.83
32 Al 0.8641 0.1359 0.1359  2 Cr 2.56, 10 Al 2.72-2.83
33 Al 0.3859 0.3859 0.1141  2 Cr 2.56, 10 Al 2.72-2.83
34 Al 0.1141 0.1141 0.3859  2 Cr 2.56, 10 Al 2.72-2.83
35 Al 0.3859 0.1141 0.3859  2 Cr 2.56, 10 Al 2.72-2.83
36 Al 0.1141 0.3859 0.1141  2 Cr 2.56, 10 Al 2.72-2.83
37 Al 0.1141 0.3859 0.3859  2 Cr 2.56, 10 Al 2.72-2.83
38 Al 0.3859 0.1141 0.1141  2 Cr 2.56, 10 Al 2.72-2.83
39 Al 0.1250 0.6250 0.6250  12 Al 3.09, 2 Ce 3.13
40 Al 0.6250 0.1250 0.6250  12 Al 3.09, 2 Ce 3.13
41 Al 0.6250 0.6250 0.1250  12 Al 3.09, 2 Ce 3.13
42 Al 0.6250 0.6250 0.6250  12 Al 3.09, 2 Ce 3.13
43 Cr 0.6250 0.1250 0.1250  12 Al 2.56-2.78
44 Cr 0.1250 0.6250 0.1250  12 Al 2.56-2.78
45 Cr 0.1250 0.1250 0.6250  12 Al 2.56-2.78
46 Cr 0.1250 0.1250 0.1250  12 Al 2.56-2.78

Output
**Space-group type**: Fd-3m, No. 227
**VASP energy**: -104.07 eV/f.u.
**Formation enthalpy at 0 K**: -175.5 meV per atom

Record 6
First-principles (PBE-GGA) data for crystalline Sr2CdReI at its relaxed geometry, as listed in Alexandria.

Lattice parameters (Å, degrees): 6.0334 5.0946 6.0334 90.00 90.00 90.00
Last column: nearest neighbours and their distance in Å.
Fractional coordinates of all 5 atoms:
1 I 0.0000 0.5000 0.0000  2 Re 2.55
2 Re 0.0000 0.0000 0.0000  2 I 2.55
3 Sr 0.0000 0.0000 0.5000  2 Re 3.02
4 Sr 0.5000 0.0000 0.0000  2 Re 3.02
5 Cd 0.5000 0.5000 0.5000  8 Sr 3.95, 4 I 4.27

Output
**Space-group type**: P4/mmm, No. 123
**VASP energy**: -15.81 eV/f.u.
**Energy relative to the elements, uncorrected**: 0.493 eV/atom

Record 7
First-principles (PBE-GGA) data for crystalline PmGa2Co2B at its relaxed geometry, as listed in Alexandria.

Lattice parameters (Å, degrees): 3.9873 3.9873 5.5338 90.00 90.00 90.00
Last column: nearest neighbours and their distance in Å.
Fractional coordinates of all 6 atoms:
1 Pm 0.0000 0.0000 0.5000  2 B 2.77
2 Ga 0.5000 0.5000 0.7382  4 Co 2.46, 1 Ga 2.64
3 Ga 0.5000 0.5000 0.2618  4 Co 2.46, 1 Ga 2.64
4 Co 0.5000 0.0000 0.0000  2 B 1.99
5 Co 0.0000 0.5000 0.0000  2 B 1.99
6 B 0.0000 0.0000 0.0000  4 Co 1.99

Output
**Space-group type**: P4/mmm, No. 123
**VASP energy**: -34.53 eV/f.u.
**Formation enthalpy at 0 K**: -471.9 meV per atom

Record 8
First-principles (PBE-GGA) data for crystalline ZnBiAsSe2 at its relaxed geometry, as listed in Alexandria.

Lattice parameters (Å, degrees): 5.5259 5.5259 5.5879 90.00 90.00 90.00
Last column: nearest neighbours and their distance in Å.
Fractional coordinates of all 5 atoms:
1 Zn 0.5000 0.5000 0.5000  4 As 3.91, 8 Se 3.93
2 As 0.0000 0.0000 0.5000  2 Bi 2.79
3 Bi 0.0000 0.0000 0.0000  4 Se 2.76, 2 As 2.79
4 Se 0.0000 0.5000 0.0000  2 Bi 2.76
5 Se 0.5000 0.0000 0.0000  2 Bi 2.76

Output
**Space-group type**: P4/mmm, No. 123
**Energy relative to the lowest polymorph listed for this composition**: 462.7 meV/atom
**VASP energy**: -12.95 eV/f.u.
**Energy relative to the elements, uncorrected**: 0.764 eV/atom

Record 9
First-principles (PBE-GGA) data for crystalline CeNdGe4 at its relaxed geometry, as listed in Alexandria.

Lattice parameters (Å, degrees): 4.1414 8.9571 15.6095 90.00 90.00 90.00
Last column: nearest neighbours and their distance in Å.
Fractional coordinates of all 24 atoms:
1 Ce 0.0000 0.6034 0.3675  10 Ge 3.10-3.41
2 Ce 0.0000 0.3966 0.6325  10 Ge 3.10-3.41
3 Ce 0.0000 0.1034 0.1325  10 Ge 3.10-3.41
4 Ce 0.0000 0.8966 0.8675  10 Ge 3.10-3.41
5 Nd 0.0000 0.6328 0.0850  10 Ge 3.04-3.38
6 Nd 0.0000 0.3672 0.9150  10 Ge 3.04-3.38
7 Nd 0.0000 0.1328 0.4150  10 Ge 3.04-3.38
8 Nd 0.0000 0.8672 0.5850  10 Ge 3.04-3.38
9 Ge 0.5000 0.8353 0.1845  3 Ge 2.50-2.53
10 Ge 0.5000 0.1647 0.8155  3 Ge 2.50-2.53
11 Ge 0.5000 0.3353 0.3155  3 Ge 2.50-2.53
12 Ge 0.5000 0.6647 0.6845  3 Ge 2.50-2.53
13 Ge 0.5000 0.8685 0.0235  3 Ge 2.47-2.67
14 Ge 0.5000 0.1315 0.9765  3 Ge 2.47-2.67
15 Ge 0.5000 0.3685 0.4765  3 Ge 2.47-2.67
16 Ge 0.5000 0.6315 0.5235  3 Ge 2.47-2.67
17 Ge 0.5000 0.8598 0.4138  2 Ge 2.67-2.78
18 Ge 0.5000 0.1402 0.5861  2 Ge 2.67-2.78
19 Ge 0.5000 0.3598 0.0862  2 Ge 2.67-2.78
20 Ge 0.5000 0.6402 0.9138  2 Ge 2.67-2.78
21 Ge 0.5000 0.0616 0.2786  3 Ge 2.50-2.78
22 Ge 0.5000 0.9384 0.7214  3 Ge 2.50-2.78
23 Ge 0.5000 0.5616 0.2214  3 Ge 2.50-2.78
24 Ge 0.5000 0.4384 0.7786  3 Ge 2.50-2.78

Output
**Space-group type**: Pbam, No. 55
**Energy relative to the lowest polymorph listed for this composition**: 0.0 meV/atom
**VASP energy**: -32.02 eV/f.u.
**Formation enthalpy at 0 K**: -475.0 meV per atom

The evaluated magnetic moment for the records listed, in turn: 0.0; 0.0; 0.0; 2.7; 1.8; 0.0; 1.4; 1.2; 0.8 μB/f.u..